This record from Alexandria describes Pm2DyTe after structural relaxation. The functional is GGA-PBE.

Cell and atoms, written as POSCAR:
```
Pm2DyTe
1.0
3.9777 0.0000 0.0000
-1.9888 3.4448 0.0000
0.0000 0.0000 29.5617
Pm Dy Te
6 3 3
Direct
0.0000 0.0000 0.0000
0.0000 0.0000 0.1883
0.3333 0.6667 0.6667
0.3333 0.6667 0.8550
0.6667 0.3333 0.3333
0.6667 0.3333 0.5217
0.0000 0.0000 0.4271
0.3333 0.6667 0.0938
0.6667 0.3333 0.7604
0.0000 0.0000 0.5942
0.3333 0.6667 0.2609
0.6667 0.3333 0.9275
```

distance to the lowest polymorph of the same formula = 29 meV/atom